! ScUPt (PBE-GGA, optimized geometry); values from VASP
! Symmetry: F-43m
! Energy, eV per atom: -8.13
! Calculated volume, Å³/cell: 72.7
! Formation energy, eV per atom: -0.2317
&SYSTEM
  ibrav = 0, nat = 3, ntyp = 3
/
ATOMIC_SPECIES
Sc 44.96 Sc.upf
U 238.03 U.upf
Pt 195.08 Pt.upf
ATOMIC_POSITIONS crystal
Sc 0.0000 0.0000 0.0000
U 0.5000 0.5000 0.5000
Pt 0.2500 0.2500 0.2500
CELL_PARAMETERS angstrom
0.0000 3.3126 3.3126
3.3126 0.0000 3.3126
3.3126 3.3126 0.0000